Entry 1:
Material: NaTcPd
Method: DFT, PBE
State: optimized geometry

Results
crystal system: hexagonal
ΔE to the lowest computed polymorph: 0.661 eV per atom
N(E_F): 4.90 states/eV per cell
magnetic moment: 0.873 μB/atom
DFT total energy: -4.90 eV per atom

Cell: 4.6862 4.6862 5.5371 Å, 90.00 90.00 120.00°
Space group P6_3/mmc (No. 194)
Asymmetric unit:
Na 0.0000 0.0000 0.0000 (multiplicity 2)
Tc 0.3333 0.6667 0.2500 (multiplicity 2)
Pd 0.3333 0.6667 0.7500 (multiplicity 2)

***

Entry 2:
Material: NaTcPd3
Method: DFT, PBE
State: optimized geometry

Results
crystal system: cubic
ΔE to the lowest computed polymorph: 0.000 eV per atom
N(E_F): 5.19 states/eV per cell
magnetic moment: 0.000 μB/atom
DFT total energy: -4.66 eV per atom

Cell: 4.842 4.842 4.842 Å, 90.00 90.00 90.00°
Space group Pm-3m (No. 221)
Asymmetric unit:
Na 0.000 0.000 0.000 (multiplicity 1)
Tc 0.500 0.500 0.500 (multiplicity 1)
Pd 0.000 0.500 0.500 (multiplicity 3)

***

Entry 3:
Material: NaTcPd
Method: DFT, PBE
State: optimized geometry

Results
crystal system: monoclinic
ΔE to the lowest computed polymorph: 0.143 eV per atom
N(E_F): 7.40 states/eV per cell
magnetic moment: 0.000 μB/atom
DFT total energy: -5.42 eV per atom

Cell: 9.975 3.032 7.713 Å, 90.00 107.71 90.00°
Space group C2/m (No. 12)
Asymmetric unit:
Na 0.153 0.000 0.104 (multiplicity 4)
Tc 0.167 0.000 0.516 (multiplicity 4)
Pd 0.039 0.500 0.719 (multiplicity 4)

***

Entry 4:
Material: NaTcPd
Method: DFT, PBE
State: optimized geometry

Results
crystal system: monoclinic
ΔE to the lowest computed polymorph: 0.225 eV per atom
N(E_F): 6.53 states/eV per cell
magnetic moment: 0.000 μB/atom
DFT total energy: -5.34 eV per atom

Cell: 11.545 2.743 6.731 Å, 90.00 97.22 90.00°
Space group Cm (No. 8)
Asymmetric unit:
Na 0.000 0.000 0.000 (multiplicity 2)
Na 0.073 0.000 0.611 (multiplicity 2)
Tc 0.267 0.000 0.004 (multiplicity 2)
Tc 0.363 0.000 0.313 (multiplicity 2)
Pd 0.156 0.500 0.288 (multiplicity 2)
Pd 0.315 0.500 0.667 (multiplicity 2)

***

Entry 5:
Material: NaTcPd
Method: DFT, PBE
State: optimized geometry

Results
crystal system: triclinic
ΔE to the lowest computed polymorph: 0.065 eV per atom
N(E_F): 4.82 states/eV per cell
magnetic moment: 0.000 μB/atom
DFT total energy: -5.50 eV per atom

Cell: 2.824 2.824 14.898 Å, 87.65 87.80 60.08°
Space group P-1 (No. 2)
Asymmetric unit:
Na 0.214 0.225 0.110 (multiplicity 2)
Tc 0.175 0.176 0.431 (multiplicity 2)
Pd 0.471 0.465 0.724 (multiplicity 2)

***

Entry 6:
Material: NaTc3Pd
Method: DFT, PBE
State: optimized geometry

Results
crystal system: cubic
ΔE to the lowest computed polymorph: 0.000 eV per atom
N(E_F): 6.34 states/eV per cell
magnetic moment: 1.711 μB/atom
DFT total energy: -5.52 eV per atom

Cell: 4.929 4.929 4.929 Å, 90.00 90.00 90.00°
Space group Pm-3m (No. 221)
Asymmetric unit:
Na 0.000 0.000 0.000 (multiplicity 1)
Tc 0.000 0.500 0.500 (multiplicity 3)
Pd 0.500 0.500 0.500 (multiplicity 1)

***

Entry 7:
Material: NaTcPd
Method: DFT, PBE
State: optimized geometry

Results
crystal system: hexagonal
ΔE to the lowest computed polymorph: 1.851 eV per atom
N(E_F): 6.55 states/eV per cell
magnetic moment: 1.172 μB/atom
DFT total energy: -3.71 eV per atom

Cell: 5.3238 5.3238 9.5925 Å, 90.00 90.00 120.00°
Space group P6_3/mmc (No. 194)
Asymmetric unit:
Na 0.3333 0.6667 0.2500 (multiplicity 2)
Tc 0.0000 0.0000 0.2500 (multiplicity 2)
Pd 0.0000 0.0000 0.0000 (multiplicity 2)

***

Entry 8:
Material: NaTcPd
Method: DFT, PBE
State: optimized geometry

Results
crystal system: hexagonal
ΔE to the lowest computed polymorph: 0.537 eV per atom
N(E_F): 3.35 states/eV per cell
magnetic moment: 0.000 μB/atom
DFT total energy: -5.03 eV per atom

Cell: 4.7118 4.7118 2.5911 Å, 90.00 90.00 120.00°
Space group P-6m2 (No. 187)
Asymmetric unit:
Na 0.0000 0.0000 0.0000 (multiplicity 1)
Tc 0.3333 0.6667 0.5000 (multiplicity 1)
Pd 0.6667 0.3333 0.5000 (multiplicity 1)

***

Entry 9:
Material: Na3TcPd
Method: DFT, PBE
State: optimized geometry

Results
crystal system: cubic
ΔE to the lowest computed polymorph: 0.000 eV per atom
N(E_F): 3.38 states/eV per cell
magnetic moment: 0.798 μB/atom
DFT total energy: -2.82 eV per atom

Cell: 5.323 5.323 5.323 Å, 90.00 90.00 90.00°
Space group Pm-3m (No. 221)
Asymmetric unit:
Na 0.000 0.000 0.500 (multiplicity 3)
Tc 0.500 0.500 0.500 (multiplicity 1)
Pd 0.000 0.000 0.000 (multiplicity 1)

***

Entry 10:
Material: NaTc2Pd2
Method: DFT, PBE
State: optimized geometry

Results
crystal system: tetragonal
N(E_F): 8.60 states/eV per cell
magnetic moment: 0.000 μB/atom
DFT total energy: -6.25 eV per atom

Cell: 7.994 7.994 2.705 Å, 90.00 90.00 90.00°
Space group P4/mbm (No. 127)
Asymmetric unit:
Na 0.000 0.000 0.000 (multiplicity 2)
Tc 0.100 0.400 0.000 (multiplicity 4)
Pd 0.191 0.691 0.500 (multiplicity 4)

***

Entry 11:
Material: NaTcPd
Method: DFT, PBE
State: optimized geometry

Results
crystal system: hexagonal
ΔE to the lowest computed polymorph: 0.443 eV per atom
N(E_F): 3.96 states/eV per cell
magnetic moment: 0.000 μB/atom
DFT total energy: -5.12 eV per atom

Cell: 4.6406 4.6406 5.7206 Å, 90.00 90.00 120.00°
Space group P-6m2 (No. 187)
Asymmetric unit:
Na 0.0000 0.0000 0.0000 (multiplicity 1)
Na 0.0000 0.0000 0.5000 (multiplicity 1)
Tc 0.6667 0.3333 0.1902 (multiplicity 2)
Pd 0.3333 0.6667 0.2407 (multiplicity 2)

***

Entry 12:
Material: NaTcPd
Method: DFT, PBE
State: optimized geometry

Results
crystal system: cubic
ΔE to the lowest computed polymorph: 0.961 eV per atom
N(E_F): 15.98 states/eV per cell
magnetic moment: 0.137 μB/atom
DFT total energy: -4.60 eV per atom

Cell: 6.111 6.111 6.111 Å, 90.00 90.00 90.00°
Space group F-43m (No. 216)
Asymmetric unit:
Na 0.000 0.000 0.000 (multiplicity 4)
Tc 0.000 0.000 0.500 (multiplicity 4)
Pd 0.250 0.250 0.750 (multiplicity 4)